Record 1
Computed, not measured: a relaxed structure of LaErMgZr at the PBE level of DFT.

Results
Formation energy = 0.126 eV per atom
Symmetry = F-43m (216)
Total energy = -0.35151 Ry/atom

a = 5.4211 Å, b = 5.4211 Å, c = 5.4211 Å
α = 60.00°, β = 60.00°, γ = 60.00°
Last column: magnetic moment on the atom in μB.
Fractional positions:
Mg1 0.7500 0.7500 0.7500  -0.01
Zr1 0.2500 0.2500 0.2500  0.79
Er1 0.0000 0.0000 0.0000  0.34
La1 0.5000 0.5000 0.5000  0.16

Record 2
Computed, not measured: a relaxed structure of LaEr2Mn at the PBE level of DFT.

Results
Formation energy = 0.104 eV per atom
Symmetry = P4/mmm (123)
Total energy = -0.41903 Ry/atom

a = 3.4744 Å, b = 3.4744 Å, c = 9.1659 Å
α = 90.00°, β = 90.00°, γ = 90.00°
Last column: magnetic moment on the atom in μB.
Fractional positions:
La1 0.5000 0.5000 0.5000  0.04
Er1 0.0000 0.0000 0.8130  -0.22
Er2 0.0000 0.0000 0.1870  -0.22
Mn1 0.5000 0.5000 0.0000  3.18

Record 3
Computed, not measured: a relaxed structure of LaEr2MnN4 at the PBE level of DFT.

Results
Symmetry = Cmcm (63)
Total energy = -0.61154 Ry/atom
Formation energy from raw total energies = -1.2549 eV/atom

a = 3.4062 Å, b = 6.0118 Å, c = 11.5109 Å
α = 90.00°, β = 90.00°, γ = 106.46°
Last column: magnetic moment on the atom in μB.
Fractional positions:
Mn1 0.1711 0.3421 0.2500  -0.97
Mn2 0.8289 0.6579 0.7500  -0.97
Er1 0.6311 0.2623 0.0448  0.00
Er2 0.3689 0.7377 0.5448  0.00
Er3 0.3689 0.7377 0.9552  0.00
Er4 0.6311 0.2623 0.4552  0.00
N1 0.0000 0.0000 0.5000  -0.02
N2 0.0000 0.0000 0.0000  -0.02
N3 0.7364 0.4727 0.8757  -0.03
N4 0.5857 0.1714 0.2500  0.02
N5 0.4143 0.8286 0.7500  0.02
N6 0.2636 0.5273 0.1243  -0.03
N7 0.7364 0.4727 0.6243  -0.03
N8 0.2636 0.5273 0.3757  -0.03
La1 0.0900 0.1799 0.7500  0.02
La2 0.9100 0.8201 0.2500  0.02

Record 4
Computed, not measured: a relaxed structure of La2ErMo2N6 at the PBE level of DFT.

Results
Symmetry = R-3m (166)
Total energy = -0.63757 Ry/atom
Formation energy from raw total energies = -0.8535 eV/atom

a = 5.8200 Å, b = 5.8200 Å, c = 6.9663 Å
α = 65.31°, β = 65.31°, γ = 60.00°
Fractional positions:
Mo1 0.6024 0.6024 0.1928
Mo2 0.3976 0.3976 0.8072
La1 0.7981 0.7981 0.6058
La2 0.2019 0.2019 0.3942
N1 0.7435 0.7435 0.2855
N2 0.2274 0.7435 0.2855
N3 0.7435 0.2274 0.2855
N4 0.2565 0.2565 0.7145
N5 0.7726 0.2565 0.7145
N6 0.2565 0.7726 0.7145
Er1 0.0000 0.0000 0.0000